Compound: Zr2NbOs2
Source: Alexandria via LeMat-Bulk
Functional: PBE
Structure: optimized geometry

## Properties
Energy relative to the elements = -0.178 eV per atom
Volume = 195 Å³/cell

Lattice parameters (Å, degrees): 6.650 6.650 4.405 90.00 90.00 90.00
Sites, in units of the cell vectors:
Zr (0.183, 0.317, 0.000)
Zr (0.317, 0.817, 0.000)
Zr (0.683, 0.183, 0.000)
Zr (0.817, 0.683, 0.000)
Nb (0.000, 0.000, 0.500)
Nb (0.500, 0.500, 0.500)
Os (0.134, 0.634, 0.500)
Os (0.366, 0.134, 0.500)
Os (0.634, 0.866, 0.500)
Os (0.866, 0.366, 0.500)